# 1
# MnCdPt2 | Alexandria via LeMat-Bulk | GGA-PBE | relaxed
data_MnCdPt2
_symmetry_space_group_name_H-M 'C 1 2/m 1'
_symmetry_Int_Tables_number 12
_cell_length_a 9.030
_cell_length_b 2.919
_cell_length_c 5.085
_cell_angle_alpha 90.00
_cell_angle_beta 101.83
_cell_angle_gamma 90.00
loop_
_symmetry_equiv_pos_as_xyz
'x,y,z'
'-x,-y,-z'
'-x,y,-z'
'x,-y,z'
'x+1/2,y+1/2,z'
'-x+1/2,-y+1/2,-z'
'-x+1/2,y+1/2,-z'
'x+1/2,-y+1/2,z'
loop_
_atom_site_label
_atom_site_type_symbol
_atom_site_fract_x
_atom_site_fract_y
_atom_site_fract_z
_atom_site_occupancy
Mn1 Mn 0.000 0.000 0.000 1
Cd1 Cd 0.000 0.500 0.500 1
Pt1 Pt 0.241 0.500 0.236 1
# Energy relative to the elements, kcal/mol of atoms: -4.49
# E_tot, eV/atom: -5.736

---

# 2
# RbH | Alexandria via LeMat-Bulk | GGA-PBE | relaxed
data_RbH
_symmetry_space_group_name_H-M 'P -6 m 2'
_symmetry_Int_Tables_number 187
_symmetry_space_group_name_Hall 'P -6 2'
_cell_length_a 4.0612
_cell_length_b 4.0612
_cell_length_c 3.6883
_cell_angle_alpha 90.00
_cell_angle_beta 90.00
_cell_angle_gamma 120.00
loop_
_atom_site_label
_atom_site_type_symbol
_atom_site_fract_x
_atom_site_fract_y
_atom_site_fract_z
_atom_site_occupancy
Rb1 Rb 0.0000 0.0000 0.0000 1
H1 H 0.6667 0.3333 0.5000 1
# E_tot, eV/atom: -2.289

---

# 3
# Ba2SbRhN | Alexandria via LeMat-Bulk | GGA-PBE | relaxed
data_Ba2SbRhN
_symmetry_space_group_name_H-M 'P 4/m m m'
_symmetry_Int_Tables_number 123
_symmetry_space_group_name_Hall '-P 4 2'
_cell_length_a 6.119
_cell_length_b 6.119
_cell_length_c 3.775
_cell_angle_alpha 90.00
_cell_angle_beta 90.00
_cell_angle_gamma 90.00
loop_
_atom_site_label
_atom_site_type_symbol
_atom_site_fract_x
_atom_site_fract_y
_atom_site_fract_z
_atom_site_occupancy
Ba1 Ba 0.000 0.500 0.000 1
Sb1 Sb 0.000 0.000 0.500 1
Rh1 Rh 0.500 0.500 0.500 1
N1 N 0.500 0.500 0.000 1
# E_form (uncorrected), eV/atom: -0.61
# Energy relative to the lowest polymorph listed for this composition, meV/atom: 0
# E_tot, eV/atom: -5.336

---

# 4
# In2HgS | Alexandria via LeMat-Bulk | GGA-PBE | relaxed
data_In2HgS
_symmetry_space_group_name_H-M 'P 4/m m m'
_symmetry_Int_Tables_number 123
_symmetry_space_group_name_Hall '-P 4 2'
_cell_length_a 5.020
_cell_length_b 5.020
_cell_length_c 3.982
_cell_angle_alpha 90.00
_cell_angle_beta 90.00
_cell_angle_gamma 90.00
loop_
_atom_site_label
_atom_site_type_symbol
_atom_site_fract_x
_atom_site_fract_y
_atom_site_fract_z
_atom_site_occupancy
In1 In 0.000 0.500 0.000 1
Hg1 Hg 0.000 0.000 0.500 1
S1 S 0.500 0.500 0.500 1
# E_form (uncorrected), eV/atom: -0.05
# Energy relative to the lowest polymorph listed for this composition, meV/atom: 185
# E_tot, eV/atom: -2.528